(1)
MgAl3Fe after structural relaxation. Source: the Alexandria database, functional PBE.

Computed properties:
**Energy relative to the elements**: 5.21 kJ/mol of atoms
**Offset from the most stable computed form**: 165 meV per atom
**DFT total energy**: -4.20 eV per atom

```
data_MgAl3Fe
_cell_length_a 4.5301
_cell_length_b 4.5301
_cell_length_c 4.5301
_cell_angle_alpha 90.00
_cell_angle_beta 90.00
_cell_angle_gamma 90.00
_symmetry_space_group_name_H-M 'P m -3 m'
_symmetry_Int_Tables_number 221
_symmetry_space_group_name_Hall '-P 4 2 3'
loop_
_atom_site_label
_atom_site_type_symbol
_atom_site_fract_x
_atom_site_fract_y
_atom_site_fract_z
Mg1 Mg 0.0000 0.0000 0.0000
Al1 Al 0.0000 0.5000 0.5000
Fe1 Fe 0.5000 0.5000 0.5000
```

(2)
Mg4AlFe after structural relaxation. Source: the Alexandria database, functional PBE.

Computed properties:
**Energy relative to the elements**: 45.29 kJ/mol of atoms
**DFT total energy**: -2.63 eV per atom

```
data_Mg4AlFe
_cell_length_a 7.8662
_cell_length_b 7.8662
_cell_length_c 7.8662
_cell_angle_alpha 90.00
_cell_angle_beta 90.00
_cell_angle_gamma 90.00
_symmetry_space_group_name_H-M 'F -4 3 m'
_symmetry_Int_Tables_number 216
_symmetry_space_group_name_Hall 'F -4 2 3'
loop_
_atom_site_label
_atom_site_type_symbol
_atom_site_fract_x
_atom_site_fract_y
_atom_site_fract_z
Mg1 Mg 0.1253 0.1253 0.1253
Al1 Al 0.2500 0.2500 0.7500
Fe1 Fe 0.0000 0.0000 0.5000
```

(3)
MgAlFe3 after structural relaxation. Source: the Alexandria database, functional PBE.

Computed properties:
**Energy relative to the elements**: 82.35 kJ/mol of atoms
**Offset from the most stable computed form**: 0 meV per atom
**DFT total energy**: -5.29 eV per atom

```
data_MgAlFe3
_cell_length_a 4.3853
_cell_length_b 4.3853
_cell_length_c 4.3853
_cell_angle_alpha 90.00
_cell_angle_beta 90.00
_cell_angle_gamma 90.00
_symmetry_space_group_name_H-M 'P m -3 m'
_symmetry_Int_Tables_number 221
_symmetry_space_group_name_Hall '-P 4 2 3'
loop_
_atom_site_label
_atom_site_type_symbol
_atom_site_fract_x
_atom_site_fract_y
_atom_site_fract_z
Mg1 Mg 0.0000 0.0000 0.0000
Al1 Al 0.5000 0.5000 0.5000
Fe1 Fe 0.0000 0.5000 0.5000
```

(4)
MgAlFe2 after structural relaxation. Source: the Alexandria database, functional PBE.

Computed properties:
**Energy relative to the elements**: 3.01 kJ/mol of atoms
**DFT total energy**: -5.53 eV per atom

```
data_MgAlFe2
_cell_length_a 5.4067
_cell_length_b 7.4969
_cell_length_c 2.6935
_cell_angle_alpha 90.00
_cell_angle_beta 90.67
_cell_angle_gamma 90.00
_symmetry_space_group_name_H-M 'C 1 2/m 1'
_symmetry_Int_Tables_number 12
_symmetry_space_group_name_Hall '-C 2y'
loop_
_atom_site_label
_atom_site_type_symbol
_atom_site_fract_x
_atom_site_fract_y
_atom_site_fract_z
Mg1 Mg 0.0000 0.0000 0.0000
Al1 Al 0.0000 0.5000 0.0000
Fe1 Fe 0.2500 0.2500 0.5000
```